# 1
Entry from the Alexandria database: CaPaS3 after structural relaxation (PBE).

Cell lengths 7.0903, 7.1110, 7.1110 Å; angles 120.00, 90.00, 90.00 degrees
Last column: nearest neighbours and their distance in Å.
Fractional positions:
1 Ca 0.0000 0.0000 0.0000  6 S 2.84
2 Ca 0.5000 0.0000 0.0000  6 S 2.84
3 Pa 0.5000 0.6667 0.3333  6 S 2.72
4 Pa 0.0000 0.6667 0.3333  6 S 2.72
5 S 0.7500 0.3459 0.2586  2 Pa 2.72, 2 Ca 2.84
6 S 0.7500 0.9127 0.6541  2 Pa 2.72, 2 Ca 2.84
7 S 0.7500 0.7414 0.0873  2 Pa 2.72, 2 Ca 2.84
8 S 0.2500 0.7414 0.6541  2 Pa 2.72, 2 Ca 2.84
9 S 0.2500 0.3459 0.0873  2 Pa 2.72, 2 Ca 2.84
10 S 0.2500 0.9127 0.2586  2 Pa 2.72, 2 Ca 2.84

**Formation energy (no corrections)**: -1.725 eV/atom
**Electronic total energy**: -0.239 hartree per atom
**M_tot**: 1.00 μB/f.u.
**Calculated volume**: 31.05 A^3/atom
**Space group**: No. 188

---

# 2
Entry from the Alexandria database: CaSc2PaS6 after structural relaxation (PBE).

Cell lengths 6.7518, 6.7518, 7.1459 Å; angles 61.81, 61.81, 60.00 degrees
Last column: nearest neighbours and their distance in Å.
Fractional positions:
1 Ca 0.8081 0.8082 0.5756  6 S 2.79-2.89
2 Sc 0.5119 0.5119 0.4643  6 S 2.60-2.62
3 Sc 0.0097 0.0097 0.9710  6 S 2.57-2.64
4 Pa 0.3172 0.3172 0.0483  6 S 2.71-2.72
5 S 0.6232 0.2393 0.2407  2 Sc 2.60-2.64, 1 Pa 2.71, 1 Ca 2.89
6 S 0.2393 0.8968 0.2406  2 Sc 2.60-2.64, 1 Pa 2.71, 1 Ca 2.89
7 S 0.8968 0.6232 0.2406  2 Sc 2.60-2.64, 1 Pa 2.71, 1 Ca 2.89
8 S 0.3739 0.7370 0.7447  2 Sc 2.57-2.62, 1 Pa 2.72, 1 Ca 2.79
9 S 0.7370 0.1445 0.7447  2 Sc 2.57-2.62, 1 Pa 2.72, 1 Ca 2.79
10 S 0.1444 0.3739 0.7447  2 Sc 2.57-2.62, 1 Pa 2.72, 1 Ca 2.79

**Formation energy (no corrections)**: -1.814 eV/atom
**Electronic total energy**: -0.246 hartree per atom
**M_tot**: 1.09 μB/f.u.
**Calculated volume**: 23.64 A^3/atom
**Space group**: No. 146

---

Question: What is the formula in the first record?
Answer: CaPaS3

---

Question: Which value of formation energy (no corrections) does entry 1 give?
Answer: -1.725 eV/atom

---

Question: Which formula does entry 1 have?
Answer: CaPaS3